# PBE Ac2Pm3NdY6, optimized geometry
# **Energy relative to the elements**: 0.03 eV/atom
# **M_tot**: 0.000 μB/f.u.
data_Ac2Pm3NdY6
_chemical_formula_sum 'Ac4 Pm6 Nd2 Y12'
_cell_length_a 6.3895
_cell_length_b 11.0643
_cell_length_c 11.9850
_cell_angle_alpha 90.00
_cell_angle_beta 100.21
_cell_angle_gamma 90.00
_symmetry_space_group_name_H-M 'C 1 2/m 1'
_symmetry_Int_Tables_number 12
loop_
_symmetry_equiv_pos_as_xyz
'x,y,z'
'-x,-y,-z'
'-x,y,-z'
'x,-y,z'
'x+1/2,y+1/2,z'
'-x+1/2,-y+1/2,-z'
'-x+1/2,y+1/2,-z'
'x+1/2,-y+1/2,z'
loop_
_atom_site_label
_atom_site_type_symbol
_atom_site_fract_x
_atom_site_fract_y
_atom_site_fract_z
Ac1 Ac 0.0000 0.1666 0.0000
Pm1 Pm 0.0000 0.0000 0.5000
Pm2 Pm 0.0000 0.3333 0.5000
Nd1 Nd 0.0000 0.5000 0.0000
Y1 Y 0.2465 0.5000 0.7448
Y2 Y 0.2496 0.1657 0.7449

=====

# PBE AcPm5Nd2Y, optimized geometry
# **Energy relative to the elements**: 0.25 eV/atom
# **M_tot**: 0.000 μB/f.u.
data_AcPm5Nd2Y
_chemical_formula_sum 'Ac4 Pm20 Nd8 Y4'
_cell_length_a 9.0259
_cell_length_b 9.0259
_cell_length_c 15.8755
_cell_angle_alpha 90.00
_cell_angle_beta 90.00
_cell_angle_gamma 90.00
_symmetry_space_group_name_H-M 'I 4/m c m'
_symmetry_Int_Tables_number 140
_symmetry_space_group_name_Hall '-I 4 2c'
loop_
_atom_site_label
_atom_site_type_symbol
_atom_site_fract_x
_atom_site_fract_y
_atom_site_fract_z
Ac1 Ac 0.0000 0.0000 0.2500
Pm1 Pm 0.0000 0.0000 0.0000
Pm2 Pm 0.2065 0.2935 0.1334
Nd1 Nd 0.1166 0.3834 0.5000
Y1 Y 0.0000 0.5000 0.2500

=====

# PBE AcPm6NdY2, optimized geometry
# **Energy relative to the elements**: 0.12 eV/atom
# **M_tot**: 0.000 μB/f.u.
data_AcPm6NdY2
_chemical_formula_sum 'Ac4 Pm24 Nd4 Y8'
_cell_length_a 9.5678
_cell_length_b 15.3375
_cell_length_c 9.7317
_cell_angle_alpha 90.00
_cell_angle_beta 95.14
_cell_angle_gamma 90.00
_symmetry_space_group_name_H-M 'C 1 2/c 1'
_symmetry_Int_Tables_number 15
loop_
_symmetry_equiv_pos_as_xyz
'x,y,z'
'-x,-y,-z'
'-x,y,-z+1/2'
'x,-y,z+1/2'
'x+1/2,y+1/2,z'
'-x+1/2,-y+1/2,-z'
'-x+1/2,y+1/2,-z+1/2'
'x+1/2,-y+1/2,z+1/2'
loop_
_atom_site_label
_atom_site_type_symbol
_atom_site_fract_x
_atom_site_fract_y
_atom_site_fract_z
Ac1 Ac 0.0000 0.0390 0.2500
Pm1 Pm 0.0672 0.1773 0.9415
Pm2 Pm 0.0919 0.3852 0.1167
Pm3 Pm 0.2221 0.2295 0.3219
Nd1 Nd 0.0000 0.4091 0.7500
Y1 Y 0.2454 0.4496 0.4479

=====

# PBE AcPmNd2Y2, optimized geometry
# **Energy relative to the elements**: 0.28 eV/atom
# **M_tot**: 0.000 μB/f.u.
data_AcPmNd2Y2
_chemical_formula_sum 'Ac2 Pm2 Nd4 Y4'
_cell_length_a 6.7486
_cell_length_b 18.3566
_cell_length_c 3.5058
_cell_angle_alpha 90.00
_cell_angle_beta 90.00
_cell_angle_gamma 90.00
_symmetry_space_group_name_H-M 'P n n m'
_symmetry_Int_Tables_number 58
loop_
_symmetry_equiv_pos_as_xyz
'x,y,z'
'-x,-y,-z'
'-x,-y,z'
'x,y,-z'
'x+1/2,-y+1/2,-z+1/2'
'-x+1/2,y+1/2,z+1/2'
'-x+1/2,y+1/2,-z+1/2'
'x+1/2,-y+1/2,z+1/2'
loop_
_atom_site_label
_atom_site_type_symbol
_atom_site_fract_x
_atom_site_fract_y
_atom_site_fract_z
Ac1 Ac 0.0000 0.0000 0.0000
Pm1 Pm 0.0000 0.5000 0.0000
Nd1 Nd 0.2052 0.3475 0.5000
Y1 Y 0.2109 0.1841 0.0000

=====

# PBE Ac2Pm5NdY, optimized geometry
# **Energy relative to the elements**: 0.14 eV/atom
# **M_tot**: 0.000 μB/f.u.
data_Ac2Pm5NdY
_chemical_formula_sum 'Ac8 Pm20 Nd4 Y4'
_cell_length_a 5.8607
_cell_length_b 20.6895
_cell_length_c 11.0527
_cell_angle_alpha 90.00
_cell_angle_beta 90.00
_cell_angle_gamma 90.00
_symmetry_space_group_name_H-M 'C m c 21'
_symmetry_Int_Tables_number 36
loop_
_symmetry_equiv_pos_as_xyz
'x,y,z'
'-x,-y,z+1/2'
'-x,y,z'
'x,-y,z+1/2'
'x+1/2,y+1/2,z'
'-x+1/2,-y+1/2,z+1/2'
'-x+1/2,y+1/2,z'
'x+1/2,-y+1/2,z+1/2'
loop_
_atom_site_label
_atom_site_type_symbol
_atom_site_fract_x
_atom_site_fract_y
_atom_site_fract_z
Ac1 Ac 0.0000 0.1106 0.0000
Ac2 Ac 0.0000 0.1194 0.5902
Pm1 Pm 0.0000 0.0200 0.2939
Pm2 Pm 0.0000 0.2842 0.5697
Pm3 Pm 0.0000 0.2957 0.9656
Pm4 Pm 0.0000 0.3977 0.2929
Pm5 Pm 0.0000 0.4787 0.0098
Nd1 Nd 0.0000 0.2086 0.2728
Y1 Y 0.0000 0.4103 0.7312

=====

# PBE AcPmNdY2, optimized geometry
# **Energy relative to the elements**: 0.36 eV/atom
# **M_tot**: 0.000 μB/f.u.
data_AcPmNdY2
_chemical_formula_sum 'Ac4 Pm4 Nd4 Y8'
_cell_length_a 6.6357
_cell_length_b 17.5240
_cell_length_c 6.5116
_cell_angle_alpha 90.00
_cell_angle_beta 90.00
_cell_angle_gamma 90.00
_symmetry_space_group_name_H-M 'C m c m'
_symmetry_Int_Tables_number 63
_symmetry_space_group_name_Hall '-C 2c 2'
loop_
_atom_site_label
_atom_site_type_symbol
_atom_site_fract_x
_atom_site_fract_y
_atom_site_fract_z
Ac1 Ac 0.0000 0.1576 0.2500
Pm1 Pm 0.0000 0.2804 0.7500
Nd1 Nd 0.0000 0.3467 0.2500
Y1 Y 0.2429 0.5000 0.0000